Entry 1:
DFT (PBE-GGA) results for an optimized crystal structure of HoTm3C2S2.

a b c (Å): 3.6534 3.6534 12.7106
angles (deg): 90.00 90.00 120.00
Fractional positions:
Tm (0.0000, 0.0000, 0.3970)
Tm (0.6667, 0.3333, 0.6032)
Tm (0.6667, 0.3333, 0.8956)
C (0.3333, 0.6667, 0.9989)
C (0.3333, 0.6667, 0.5002)
Ho (0.0000, 0.0000, 0.1037)
S (0.6667, 0.3333, 0.2515)
S (0.0000, 0.0000, 0.7499)

Output
As for the space group: P3m1 (156). For the mass density, the calculation gives 8.6 Mg/m³.

***

Entry 2:
DFT (PBE-GGA) results for an optimized crystal structure of HoTmCS.

a b c (Å): 3.6642 3.6642 12.7515
angles (deg): 90.00 90.00 120.00
Fractional positions:
S (0.6667, 0.3333, 0.7516)
S (0.3333, 0.6667, 0.2484)
Ho (0.3333, 0.6667, 0.6046)
Ho (0.6667, 0.3333, 0.3954)
C (0.0000, 0.0000, 0.5000)
C (0.0000, 0.0000, 0.0000)
Tm (0.3333, 0.6667, 0.8972)
Tm (0.6667, 0.3333, 0.1028)

Output
As for the space group: P-3m1 (164). For the mass density, the calculation gives 8.5 Mg/m³.

***

Entry 3:
DFT (PBE-GGA) results for an optimized crystal structure of HoTmCS.

a b c (Å): 3.6637 3.6637 12.7505
angles (deg): 90.00 90.00 120.00
Fractional positions:
C (0.0000, 0.0000, 0.9991)
C (0.0000, 0.0000, 0.4991)
Ho (0.6667, 0.3333, 0.1034)
Ho (0.3333, 0.6667, 0.6034)
Tm (0.6667, 0.3333, 0.3960)
Tm (0.3333, 0.6667, 0.8960)
S (0.3333, 0.6667, 0.2514)
S (0.6667, 0.3333, 0.7514)

Output
As for the space group: P6_3mc (186). For the mass density, the calculation gives 8.5 Mg/m³.

***

Entry 4:
DFT (PBE-GGA) results for an optimized crystal structure of YHo3C2S2.

a b c (Å): 3.6909 3.6909 12.8528
angles (deg): 90.00 90.00 120.00
Fractional positions:
S (0.0000, 0.0000, 0.7499)
S (0.6667, 0.3333, 0.2508)
Ho (0.0000, 0.0000, 0.3964)
Ho (0.6667, 0.3333, 0.6040)
Ho (0.6667, 0.3333, 0.8957)
Y (0.0000, 0.0000, 0.1043)
C (0.3333, 0.6667, 0.9990)
C (0.3333, 0.6667, 0.5000)

Output
As for the space group: P3m1 (156). For the mass density, the calculation gives 7.4 Mg/m³.

***

Total DFT energy (no corrections) (computed, eV/atom): -6.89, -6.89, -6.89, -7.13